No. 1
Material: Tb2PmSb
Method: DFT, GGA-PBE
State: optimized geometry

The structure in POSCAR format:
```
Tb2PmSb
1.0
-1.658 -4.487 0.479
4.178 -1.323 2.071
-1.801 1.131 4.355
Tb Sb Pm
2 1 1
Cartesian
-0.900 0.565 2.178 Tb
2.089 -0.661 1.035 Tb
0.359 -2.339 3.453 Sb
-0.829 -2.243 0.240 Pm
```

Properties
total energy = -20.17 eV/cell
E_form (uncorrected) = -0.51 eV/atom
symmetry = P4/mmm (123)
E above lowest polymorph = 0.056 eV per atom



No. 2
Material: Tb3PmSb2
Method: DFT, GGA-PBE
State: optimized geometry

The structure in POSCAR format:
```
Tb3PmSb2
1.0
4.505 0.000 0.000
0.000 4.505 0.000
0.000 0.000 8.593
Tb Pm Sb
3 1 2
Cartesian
2.253 0.000 3.031 Tb
0.000 0.000 0.000 Tb
0.000 2.253 5.562 Tb
2.253 2.253 0.000 Pm
2.253 0.000 6.162 Sb
0.000 2.253 2.431 Sb
```

Properties
total energy = -31.67 eV/cell
E_form (uncorrected) = -0.80 eV/atom
symmetry = P-4m2 (115)
E above lowest polymorph = 0.000 eV per atom